A relaxed structure of Nd2TiS5, computed with PBE-GGA.

Lattice parameters (Å, degrees): 7.304 7.304 12.689 90.00 90.00 138.16
Fractional coordinates of all 16 atoms:
Nd (0.149, 0.851, 0.568)
Nd (0.149, 0.851, 0.932)
Nd (0.851, 0.149, 0.068)
Nd (0.851, 0.149, 0.432)
Ti (0.174, 0.826, 0.250)
Ti (0.826, 0.174, 0.750)
S (0.049, 0.951, 0.125)
S (0.049, 0.951, 0.375)
S (0.282, 0.718, 0.750)
S (0.294, 0.706, 0.097)
S (0.294, 0.706, 0.403)
S (0.706, 0.294, 0.597)
S (0.706, 0.294, 0.903)
S (0.718, 0.282, 0.250)
S (0.951, 0.049, 0.625)
S (0.951, 0.049, 0.875)

Output
The calculation puts the calculated volume at 28.226 Å³/atom. The value obtained for the formation energy from raw total energies is -12.937 eV per formula unit. The relative energy among the computed polymorphs is 1.079 eV per formula unit. As for the space group: Cmcm (63).